Record 1
Below is a relaxed TbY6Cd2 crystal, with properties calculated at the PBE level.

The space group is C2/m (No. 12) and the conventional cell measures 12.7024, 3.7416 and 11.9478 Å, with angles of 90.00, 108.54 and 90.00 degrees. Symmetry generates all atoms from Tb at (0.0000, 0.0000, 0.0000), Y at (0.0170, 0.0000, 0.3384), Y at (0.1849, 0.5000, 0.8768), Y at (0.1875, 0.5000, 0.5851) and Cd at (0.1464, 0.5000, 0.2071).

The calculated formation energy is -0.139 eV per atom. Its total energy is -5.167 eV/atom. The crystal system is monoclinic.



Record 2
Below is a relaxed TbZn2Cd2 crystal, with properties calculated at the PBE level.

The space group is I4/mmm (No. 139) and the conventional cell measures 4.2362, 4.2362 and 11.8305 Å, with angles of 90.00, 90.00 and 90.00 degrees. Symmetry generates all atoms from Tb at (0.0000, 0.0000, 0.0000), Zn at (0.0000, 0.0000, 0.3986) and Cd at (0.0000, 0.5000, 0.2500).

The calculated formation energy is -0.236 eV per atom. Its total energy is -2.037 eV/atom. The crystal system is tetragonal.



Record 3
Below is a relaxed Tb4Zn3Cd2 crystal, with properties calculated at the PBE level.

The space group is C2/m (No. 12) and the conventional cell measures 10.1199, 4.9263 and 8.8980 Å, with angles of 90.00, 105.53 and 90.00 degrees. Symmetry generates all atoms from Tb at (0.0734, 0.0000, 0.3475), Tb at (0.1357, 0.5000, 0.8984), Zn at (0.0000, 0.0000, 0.0000), Zn at (0.1252, 0.5000, 0.5577) and Cd at (0.2416, 0.5000, 0.2782).

The calculated formation energy is -0.268 eV per atom. Its total energy is -2.954 eV/atom. The crystal system is monoclinic.



Record 4
Below is a relaxed Tb2Zn16Cd crystal, with properties calculated at the PBE level.

The space group is R3m (No. 160, hexagonal axes) and the conventional cell measures 9.0424, 9.0424 and 13.2449 Å, with angles of 90.00, 90.00 and 120.00 degrees. Symmetry generates all atoms from Tb at (0.0000, 0.0000, 0.0000), Tb at (0.0000, 0.0000, 0.3231), Zn at (0.0000, 0.0000, 0.7704), Zn at (0.9998, 0.3000, 0.6631), Zn at (0.0135, 0.5068, 0.8154), Zn at (0.1702, 0.3404, 0.4962), Zn at (0.1719, 0.3439, 0.8432) and Cd at (0.0000, 0.0000, 0.5643).

The calculated formation energy is -0.228 eV per atom. Its total energy is -1.836 eV/atom. The crystal system is trigonal.



Record 5
Below is a relaxed TbZn2Cd9 crystal, with properties calculated at the PBE level.

The space group is I4_1/amd (No. 141, origin choice 2) and the conventional cell measures 11.7758, 11.7758 and 7.4805 Å, with angles of 90.00, 90.00 and 90.00 degrees. Symmetry generates all atoms from Tb at (0.0000, 0.2500, 0.3750), Zn at (0.0000, 0.0000, 0.0000), Cd at (0.0000, 0.2500, 0.8750) and Cd at (0.1211, 0.0558, 0.6716).

The calculated formation energy is -0.059 eV per atom. Its total energy is -1.344 eV/atom. The crystal system is tetragonal.



Record 6
Below is a relaxed Tb2ZnCd2 crystal, with properties calculated at the PBE level.

The space group is C2/m (No. 12) and the conventional cell measures 10.8981, 4.6526 and 10.7690 Å, with angles of 90.00, 114.13 and 90.00 degrees. Symmetry generates all atoms from Tb at (0.0313, 0.0000, 0.3442), Tb at (0.1833, 0.0000, 0.1009), Zn at (0.2291, 0.5000, 0.3350), Cd at (0.0221, 0.5000, 0.8756) and Cd at (0.1426, 0.5000, 0.5746).

The calculated formation energy is -0.257 eV per atom. Its total energy is -2.730 eV/atom. The crystal system is monoclinic.



Record 7
Below is a relaxed Tb4ZnCd crystal, with properties calculated at the PBE level.

The space group is P4/mmm (No. 123) and the conventional cell measures 3.5866, 3.5866 and 12.7309 Å, with angles of 90.00, 90.00 and 90.00 degrees. Symmetry generates all atoms from Tb at (0.0000, 0.0000, 0.1399), Tb at (0.5000, 0.5000, 0.3363), Zn at (0.5000, 0.5000, 0.0000) and Cd at (0.0000, 0.0000, 0.5000).

The calculated formation energy is -0.201 eV per atom. Its total energy is -3.652 eV/atom. The crystal system is tetragonal.



Record 8
Below is a relaxed Tb2Zn5Cd crystal, with properties calculated at the PBE level.

The space group is Cmcm (No. 63) and the conventional cell measures 4.3326, 16.2979 and 9.0703 Å, with angles of 90.00, 90.00 and 90.00 degrees. Symmetry generates all atoms from Tb at (0.0000, 0.0000, 0.0000), Tb at (0.0000, 0.2025, 0.2500), Zn at (0.0000, 0.1865, 0.6085), Zn at (0.0000, 0.3466, 0.5197), Zn at (0.0000, 0.3925, 0.2500) and Cd at (0.0000, 0.4473, 0.7500).

The calculated formation energy is -0.300 eV per atom. Its total energy is -2.368 eV/atom. The crystal system is orthorhombic.